# BeCoTeO

Crystalline BeCoTeO at its relaxed geometry (PBE+U, OQMD via LeMat-Bulk).

Summary:
* final energy: -38.04 eV for the cell shown
* magnetic moment: 3.00 μB per formula unit
* mass density: 5.95 Mg/m³

Cell: 4.020 4.020 7.302 Å, 90.00 90.00 90.00°
Atoms (fractional coordinates):
Be: 0.250 0.250 0.187
Be: 0.750 0.750 0.813
Co: 0.250 0.750 0.500
Co: 0.750 0.250 0.500
Te: 0.250 0.250 0.843
Te: 0.750 0.750 0.157
O: 0.250 0.250 0.401
O: 0.750 0.750 0.599